(1)
PAu3 | PBE | relaxed

Unit cell a=5.4635 b=5.4635 c=5.4635 alpha=148.58 beta=121.47 gamma=67.95
Sites, in units of the cell vectors:
Au (0.7371, 0.7163, 0.0208)
Au (0.3045, 0.2837, 0.0208)
Au (0.1031, 0.5000, 0.6031)
P (0.6887, 0.0000, 0.6887)

relative energy among the computed polymorphs = 0.82 eV/f.u.
Fermi-level density of states = 1.47 states/eV/f.u.
space-group type = No. 44
volume = 17.90 Å³/atom


(2)
Nd8C3Se3O | PBE | relaxed

Unit cell a=7.7519 b=7.7453 c=8.1365 alpha=118.38 beta=90.00 gamma=120.00
Sites, in units of the cell vectors:
Nd (0.2633, 0.5266, 0.2898)
Nd (0.7366, 0.4734, 0.7102)
Nd (0.7616, 0.5231, 0.2934)
Nd (0.2384, 0.4769, 0.7066)
Nd (0.7616, 0.0322, 0.2935)
Nd (0.2384, 0.9678, 0.7065)
Nd (0.2707, 0.0322, 0.2935)
Nd (0.7293, 0.9678, 0.7065)
C (0.5000, 0.0000, 0.5000)
C (0.5000, 0.5000, 0.5000)
C (0.0000, 0.5000, 0.5000)
Se (0.0000, 0.0000, 0.0000)
Se (0.0000, 0.5000, 0.0000)
Se (0.5000, 0.5000, 0.0000)
O (0.0000, 0.0000, 0.5000)

Fermi-level density of states = 7.70 states/eV/f.u.
space-group type = No. 12
raw formation energy = -1.15 eV per atom
volume = 23.58 Å³/atom


(3)
CuAg2Ir | PBE | relaxed

Unit cell a=5.5115 b=5.5115 c=5.5115 alpha=151.05 beta=128.29 gamma=60.35
Sites, in units of the cell vectors:
Ag (0.0048, 0.0048, 0.0000)
Ag (0.7367, 0.2367, 0.5000)
Cu (0.4920, 0.4920, 0.0000)
Ir (0.2664, 0.7664, 0.5000)

relative energy among the computed polymorphs = 0.53 eV/f.u.
Fermi-level density of states = 2.63 states/eV/f.u.
space-group type = No. 44
volume = 15.78 Å³/atom


(4)
BaNdPu2O8 | PBE | relaxed

Unit cell a=5.6285 b=5.6285 c=6.6787 alpha=114.92 beta=114.92 gamma=90.00
Each line ends with the local moment (μB).
Sites, in units of the cell vectors:
Ba (0.0000, 0.0000, 0.0000)  -0.02
Nd (0.7500, 0.2500, 0.5000)  0.00
Pu (0.5000, 0.5000, 0.0000)  3.18
Pu (0.2500, 0.7500, 0.5000)  3.48
O (0.8672, 0.8426, 0.2583)  -0.18
O (0.3911, 0.4157, 0.2583)  -0.18
O (0.5851, 0.6083, 0.7425)  -0.18
O (0.1575, 0.1342, 0.7425)  -0.18
O (0.8658, 0.4149, 0.2575)  -0.18
O (0.3917, 0.8425, 0.2575)  -0.18
O (0.1574, 0.6089, 0.7417)  -0.18
O (0.5843, 0.1328, 0.7417)  -0.18

Fermi-level density of states = 11.12 states/eV/f.u.
space-group type = No. 119
raw formation energy = -2.72 eV per atom
volume = 14.16 Å³/atom


(5)
CdCu3 | PBE | relaxed

Unit cell a=4.6314 b=4.6314 c=2.7938 alpha=90.00 beta=90.00 gamma=108.11
Sites, in units of the cell vectors:
Cd (0.0000, 0.0000, 0.0000)
Cu (0.0000, 0.5000, 0.5000)
Cu (0.5000, 0.0000, 0.5000)
Cu (0.5000, 0.5000, 0.0000)

Fermi-level density of states = 1.57 states/eV/f.u.
space-group type = No. 65
VASP energy = -3.190 eV/atom
volume = 14.24 Å³/atom


(6)
RbInO2 | PBE | relaxed

Unit cell a=6.3129 b=4.0508 c=11.0078 alpha=90.00 beta=90.00 gamma=90.00
Sites, in units of the cell vectors:
O (0.8730, 0.2500, 0.4490)
O (0.6270, 0.7500, 0.9490)
O (0.1270, 0.7500, 0.5510)
O (0.3730, 0.2500, 0.0510)
O (0.3204, 0.2500, 0.7435)
O (0.1796, 0.7500, 0.2435)
O (0.6796, 0.7500, 0.2565)
O (0.8204, 0.2500, 0.7565)
Rb (0.4265, 0.2500, 0.3720)
Rb (0.0735, 0.7500, 0.8720)
Rb (0.5735, 0.7500, 0.6280)
Rb (0.9265, 0.2500, 0.1280)
In (0.0563, 0.2500, 0.6211)
In (0.4437, 0.7500, 0.1211)
In (0.9437, 0.7500, 0.3789)
In (0.5563, 0.2500, 0.8789)

space-group type = No. 62
raw formation energy = -1.44 eV per atom
volume = 17.59 Å³/atom


(7)
NaPHN2 | PBE | relaxed

Unit cell a=2.6928 b=6.2235 c=7.0514 alpha=114.29 beta=90.00 gamma=102.49
Sites, in units of the cell vectors:
Na (0.2267, 0.4534, 0.2374)
Na (0.7733, 0.5466, 0.7626)
P (0.0132, 0.0264, 0.3530)
P (0.9868, 0.9736, 0.6470)
H (0.6290, 0.2580, 0.8821)
H (0.3710, 0.7420, 0.1179)
N (0.4029, 0.8058, 0.6296)
N (0.5971, 0.1942, 0.3704)
N (0.1182, 0.2364, 0.8480)
N (0.8818, 0.7636, 0.1520)

Fermi-level density of states = 0.00 states/eV/f.u.
space-group type = No. 12
VASP energy = -5.643 eV/atom
volume = 10.46 Å³/atom


Question: Which value of volume does entry 6 give?
Answer: 17.59 Å³/atom


Question: Which value of volume does entry 3 give?
Answer: 15.78 Å³/atom


Question: Which value of volume does entry 6 give?
Answer: 17.59 Å³/atom